Entry 1:
Below is a relaxed CaErCuNi crystal, with properties calculated at the PBE level.

calculated formation energy = -0.164 eV/atom
space-group type = F-43m (216)
magnetization = 0.00 μB/atom

Unit cell a=4.841 b=4.841 c=4.841 alpha=60.00 beta=60.00 gamma=60.00
Positions (direct):
1 Ca 0.000 0.000 0.000
2 Er 0.500 0.500 0.500
3 Cu 0.750 0.750 0.750
4 Ni 0.250 0.250 0.250

Entry 2:
Below is a relaxed Ca2ErCuO4 crystal, with properties calculated at the PBE level.

DFT total energy = -6.561 eV/atom
space-group type = P2/m (10)
magnetization = 0.01 μB/atom

Unit cell a=5.746 b=3.375 c=5.829 alpha=90.00 beta=110.04 gamma=90.00
Positions (direct):
1 Ca 0.000 0.000 0.000
2 Ca 0.500 0.500 0.000
3 Er 0.000 0.500 0.500
4 Cu 0.500 0.000 0.500
5 O 0.229 0.000 0.745
6 O 0.237 0.500 0.253
7 O 0.763 0.500 0.747
8 O 0.771 0.000 0.255

Entry 3:
Below is a relaxed CaErCuPb crystal, with properties calculated at the PBE level.

calculated formation energy = -0.309 eV/atom
space-group type = F-43m (216)
magnetization = 0.00 μB/atom

Unit cell a=5.227 b=5.227 c=5.227 alpha=60.00 beta=60.00 gamma=60.00
Positions (direct):
1 Ca 0.000 0.000 0.000
2 Er 0.500 0.500 0.500
3 Cu 0.750 0.750 0.750
4 Pb 0.250 0.250 0.250

Entry 4:
Below is a relaxed CaErCuPd crystal, with properties calculated at the PBE level.

calculated formation energy = -0.510 eV/atom
space-group type = Amm2 (38)
magnetization = 0.00 μB/atom
distance to the lowest polymorph of the same formula = 0.0 meV per atom

Unit cell a=4.329 b=5.773 c=5.773 alpha=38.82 beta=90.00 gamma=90.00
Positions (direct):
1 Ca 0.000 0.000 0.000
2 Er 0.500 0.721 0.721
3 Cu 0.500 0.426 0.426
4 Pd 0.000 0.278 0.278

Please write out number 3 again, unchanged.
Below is a relaxed CaErCuPb crystal, with properties calculated at the PBE level.

calculated formation energy = -0.309 eV/atom
space-group type = F-43m (216)
magnetization = 0.00 μB/atom

Unit cell a=5.227 b=5.227 c=5.227 alpha=60.00 beta=60.00 gamma=60.00
Positions (direct):
1 Ca 0.000 0.000 0.000
2 Er 0.500 0.500 0.500
3 Cu 0.750 0.750 0.750
4 Pb 0.250 0.250 0.250

Which formula does entry 3 have?
CaErCuPb

Which formula does entry 3 have?
CaErCuPb